Entry 1:
VASP calculation (GGA+U) on crystalline DyCr2AsO8 at its relaxed geometry.

Computed properties:
Calculated volume = 11.18 Å³ per atom
Symmetry = No. 12
DFT total energy = -0.26040 hartree per atom
N(E_F) = 0.16 states/eV per cell
Magnetization = 3.999 μB/f.u.

Cell lengths 4.629, 4.627, 6.272 Å; angles 91.22, 91.21, 87.67 degrees
Each line ends with the local moment (μB).
Atoms (fractional coordinates):
O: 0.194 0.802 0.788  -0.04
O: 0.806 0.198 0.212  -0.04
O: 0.330 0.329 0.511  -0.16
O: 0.699 0.700 0.995  -0.17
O: 0.301 0.300 0.005  -0.17
O: 0.803 0.195 0.788  -0.04
O: 0.670 0.671 0.489  -0.16
O: 0.197 0.805 0.212  -0.04
Cr: 0.499 0.499 0.241  2.40
Cr: 0.501 0.501 0.759  2.40
Dy: 0.000 0.000 0.500  0.01
As: 0.000 0.000 0.000  0.02

Entry 2:
VASP calculation (GGA+U) on crystalline DyCrAs2O8 at its relaxed geometry.

Computed properties:
Calculated volume = 12.51 Å³ per atom
Symmetry = No. 119
DFT total energy = -0.25196 hartree per atom
Magnetization = 2.985 μB/f.u.

Cell lengths 5.810, 5.810, 5.810 Å; angles 107.09, 107.09, 114.34 degrees
Each line ends with the local moment (μB).
Atoms (fractional coordinates):
Cr: 0.000 0.000 0.000  2.98
As: 0.500 0.500 0.000  0.00
As: 0.750 0.250 0.500  0.00
O: 0.505 0.685 0.820  0.00
O: 0.379 0.069 0.311  -0.02
O: 0.931 0.621 0.689  -0.02
O: 0.315 0.495 0.180  0.00
O: 0.315 0.134 0.820  0.00
O: 0.931 0.242 0.311  -0.02
O: 0.758 0.069 0.689  -0.02
O: 0.866 0.685 0.180  0.00
Dy: 0.250 0.750 0.500  0.01

Question: Which value of calculated volume does entry 1 give?
Answer: 11.18 Å³ per atom

Please write out number 1 again, unchanged.
VASP calculation (GGA+U) on crystalline DyCr2AsO8 at its relaxed geometry.

Computed properties:
Calculated volume = 11.18 Å³ per atom
Symmetry = No. 12
DFT total energy = -0.26040 hartree per atom
N(E_F) = 0.16 states/eV per cell
Magnetization = 3.999 μB/f.u.

Cell lengths 4.629, 4.627, 6.272 Å; angles 91.22, 91.21, 87.67 degrees
Each line ends with the local moment (μB).
Atoms (fractional coordinates):
O: 0.194 0.802 0.788  -0.04
O: 0.806 0.198 0.212  -0.04
O: 0.330 0.329 0.511  -0.16
O: 0.699 0.700 0.995  -0.17
O: 0.301 0.300 0.005  -0.17
O: 0.803 0.195 0.788  -0.04
O: 0.670 0.671 0.489  -0.16
O: 0.197 0.805 0.212  -0.04
Cr: 0.499 0.499 0.241  2.40
Cr: 0.501 0.501 0.759  2.40
Dy: 0.000 0.000 0.500  0.01
As: 0.000 0.000 0.000  0.02

Copy entry 2 word for word.
VASP calculation (GGA+U) on crystalline DyCrAs2O8 at its relaxed geometry.

Computed properties:
Calculated volume = 12.51 Å³ per atom
Symmetry = No. 119
DFT total energy = -0.25196 hartree per atom
Magnetization = 2.985 μB/f.u.

Cell lengths 5.810, 5.810, 5.810 Å; angles 107.09, 107.09, 114.34 degrees
Each line ends with the local moment (μB).
Atoms (fractional coordinates):
Cr: 0.000 0.000 0.000  2.98
As: 0.500 0.500 0.000  0.00
As: 0.750 0.250 0.500  0.00
O: 0.505 0.685 0.820  0.00
O: 0.379 0.069 0.311  -0.02
O: 0.931 0.621 0.689  -0.02
O: 0.315 0.495 0.180  0.00
O: 0.315 0.134 0.820  0.00
O: 0.931 0.242 0.311  -0.02
O: 0.758 0.069 0.689  -0.02
O: 0.866 0.685 0.180  0.00
Dy: 0.250 0.750 0.500  0.01

Question: Number 2 is which compound?
Answer: DyCrAs2O8